# LaTbYEr, relaxed, DFT PBE
# DOS(E_F) = 16.04 states/eV/cell
data_LaTbYEr
_chemical_formula_sum 'La2 Tb2 Y2 Er2'
_cell_length_a 12.453
_cell_length_b 5.869
_cell_length_c 3.834
_cell_angle_alpha 90.00
_cell_angle_beta 107.83
_cell_angle_gamma 90.00
_space_group_name_H-M_alt 'C 1 m 1'
_space_group_IT_number 8
loop_
_space_group_symop_operation_xyz
'x,y,z'
'x,-y,z'
'x+1/2,y+1/2,z'
'x+1/2,-y+1/2,z'
loop_
_atom_site_label
_atom_site_type_symbol
_atom_site_fract_x
_atom_site_fract_y
_atom_site_fract_z
La1 La 0.000 0.000 0.000
Tb1 Tb 0.238 0.500 0.217
Y1 Y 0.261 0.000 0.740
Er1 Er 0.000 0.500 0.488

# La2TbY6Er3, relaxed, DFT PBE
# DOS(E_F) = 35.75 states/eV/cell
data_La2TbY6Er3
_chemical_formula_sum 'La4 Tb2 Y12 Er6'
_cell_length_a 6.215
_cell_length_b 10.762
_cell_length_c 11.858
_cell_angle_alpha 90.00
_cell_angle_beta 100.04
_cell_angle_gamma 90.00
_space_group_name_H-M_alt 'C 1 2/m 1'
_space_group_IT_number 12
loop_
_space_group_symop_operation_xyz
'x,y,z'
'-x,-y,-z'
'-x,y,-z'
'x,-y,z'
'x+1/2,y+1/2,z'
'-x+1/2,-y+1/2,-z'
'-x+1/2,y+1/2,-z'
'x+1/2,-y+1/2,z'
loop_
_atom_site_label
_atom_site_type_symbol
_atom_site_fract_x
_atom_site_fract_y
_atom_site_fract_z
La1 La 0.000 0.166 0.000
Tb1 Tb 0.000 0.500 0.000
Y1 Y 0.247 0.500 0.745
Y2 Y 0.248 0.166 0.745
Er1 Er 0.000 0.000 0.500
Er2 Er 0.000 0.334 0.500

# LaTb2YEr5, relaxed, DFT PBE
# DOS(E_F) = 44.73 states/eV/cell
data_LaTb2YEr5
_chemical_formula_sum 'La4 Tb8 Y4 Er20'
_cell_length_a 8.874
_cell_length_b 8.874
_cell_length_c 14.850
_cell_angle_alpha 90.00
_cell_angle_beta 90.00
_cell_angle_gamma 90.00
_space_group_name_H-M_alt 'I 4/m c m'
_space_group_IT_number 140
_space_group_name_Hall '-I 4 2c'
loop_
_atom_site_label
_atom_site_type_symbol
_atom_site_fract_x
_atom_site_fract_y
_atom_site_fract_z
La1 La 0.000 0.000 0.250
Tb1 Tb 0.113 0.387 0.000
Y1 Y 0.000 0.500 0.250
Er1 Er 0.000 0.000 0.000
Er2 Er 0.206 0.294 0.369

# La3Tb2YEr6, relaxed, DFT PBE
# DOS(E_F) = 31.99 states/eV/cell
data_La3Tb2YEr6
_chemical_formula_sum 'La6 Tb4 Y2 Er12'
_cell_length_a 6.215
_cell_length_b 10.764
_cell_length_c 11.798
_cell_angle_alpha 90.00
_cell_angle_beta 100.10
_cell_angle_gamma 90.00
_space_group_name_H-M_alt 'C 1 2/m 1'
_space_group_IT_number 12
loop_
_space_group_symop_operation_xyz
'x,y,z'
'-x,-y,-z'
'-x,y,-z'
'x,-y,z'
'x+1/2,y+1/2,z'
'-x+1/2,-y+1/2,-z'
'-x+1/2,y+1/2,-z'
'x+1/2,-y+1/2,z'
loop_
_atom_site_label
_atom_site_type_symbol
_atom_site_fract_x
_atom_site_fract_y
_atom_site_fract_z
La1 La 0.000 0.000 0.000
La2 La 0.000 0.333 0.000
Tb1 Tb 0.000 0.167 0.500
Y1 Y 0.000 0.500 0.500
Er1 Er 0.247 0.000 0.745
Er2 Er 0.248 0.333 0.745

# La4Tb2YEr2, relaxed, DFT PBE
# DOS(E_F) = 31.56 states/eV/cell
data_La4Tb2YEr2
_chemical_formula_sum 'La8 Tb4 Y2 Er4'
_cell_length_a 18.877
_cell_length_b 3.641
_cell_length_c 8.895
_cell_angle_alpha 90.00
_cell_angle_beta 90.06
_cell_angle_gamma 90.00
_space_group_name_H-M_alt 'C 1 2/m 1'
_space_group_IT_number 12
loop_
_space_group_symop_operation_xyz
'x,y,z'
'-x,-y,-z'
'-x,y,-z'
'x,-y,z'
'x+1/2,y+1/2,z'
'-x+1/2,-y+1/2,-z'
'-x+1/2,y+1/2,-z'
'x+1/2,-y+1/2,z'
loop_
_atom_site_label
_atom_site_type_symbol
_atom_site_fract_x
_atom_site_fract_y
_atom_site_fract_z
La1 La 0.055 0.000 0.170
La2 La 0.223 0.500 0.173
Tb1 Tb 0.111 0.500 0.827
Y1 Y 0.000 0.500 0.500
Er1 Er 0.167 0.000 0.502

# La4Tb2Y2Er, relaxed, DFT PBE
# DOS(E_F) = 31.60 states/eV/cell
data_La4Tb2Y2Er
_chemical_formula_sum 'La8 Tb4 Y4 Er2'
_cell_length_a 18.909
_cell_length_b 3.649
_cell_length_c 8.912
_cell_angle_alpha 90.00
_cell_angle_beta 90.02
_cell_angle_gamma 90.00
_space_group_name_H-M_alt 'C 1 2/m 1'
_space_group_IT_number 12
loop_
_space_group_symop_operation_xyz
'x,y,z'
'-x,-y,-z'
'-x,y,-z'
'x,-y,z'
'x+1/2,y+1/2,z'
'-x+1/2,-y+1/2,-z'
'-x+1/2,y+1/2,-z'
'x+1/2,-y+1/2,z'
loop_
_atom_site_label
_atom_site_type_symbol
_atom_site_fract_x
_atom_site_fract_y
_atom_site_fract_z
La1 La 0.055 0.000 0.326
La2 La 0.223 0.500 0.329
Tb1 Tb 0.111 0.500 0.669
Y1 Y 0.165 0.000 0.997
Er1 Er 0.000 0.500 0.000

# La3Tb2Y6Er, relaxed, DFT PBE
# DOS(E_F) = 34.45 states/eV/cell
data_La3Tb2Y6Er
_chemical_formula_sum 'La6 Tb4 Y12 Er2'
_cell_length_a 6.258
_cell_length_b 10.839
_cell_length_c 11.905
_cell_angle_alpha 90.00
_cell_angle_beta 100.08
_cell_angle_gamma 90.00
_space_group_name_H-M_alt 'C 1 2/m 1'
_space_group_IT_number 12
loop_
_space_group_symop_operation_xyz
'x,y,z'
'-x,-y,-z'
'-x,y,-z'
'x,-y,z'
'x+1/2,y+1/2,z'
'-x+1/2,-y+1/2,-z'
'-x+1/2,y+1/2,-z'
'x+1/2,-y+1/2,z'
loop_
_atom_site_label
_atom_site_type_symbol
_atom_site_fract_x
_atom_site_fract_y
_atom_site_fract_z
La1 La 0.000 0.000 0.000
La2 La 0.000 0.333 0.000
Tb1 Tb 0.000 0.167 0.500
Y1 Y 0.248 0.000 0.745
Y2 Y 0.248 0.333 0.745
Er1 Er 0.000 0.500 0.500

# La3TbY2Er6, relaxed, DFT PBE
# DOS(E_F) = 33.22 states/eV/cell
data_La3TbY2Er6
_chemical_formula_sum 'La6 Tb2 Y4 Er12'
_cell_length_a 6.213
_cell_length_b 10.762
_cell_length_c 11.810
_cell_angle_alpha 90.00
_cell_angle_beta 100.09
_cell_angle_gamma 90.00
_space_group_name_H-M_alt 'C 1 2/m 1'
_space_group_IT_number 12
loop_
_space_group_symop_operation_xyz
'x,y,z'
'-x,-y,-z'
'-x,y,-z'
'x,-y,z'
'x+1/2,y+1/2,z'
'-x+1/2,-y+1/2,-z'
'-x+1/2,y+1/2,-z'
'x+1/2,-y+1/2,z'
loop_
_atom_site_label
_atom_site_type_symbol
_atom_site_fract_x
_atom_site_fract_y
_atom_site_fract_z
La1 La 0.000 0.000 0.000
La2 La 0.000 0.333 0.000
Tb1 Tb 0.000 0.500 0.500
Y1 Y 0.000 0.167 0.500
Er1 Er 0.248 0.334 0.745
Er2 Er 0.249 0.000 0.745

# La3Tb6YEr2, relaxed, DFT PBE
# DOS(E_F) = 35.23 states/eV/cell
data_La3Tb6YEr2
_chemical_formula_sum 'La6 Tb12 Y2 Er4'
_cell_length_a 6.236
_cell_length_b 10.808
_cell_length_c 11.925
_cell_angle_alpha 90.00
_cell_angle_beta 100.05
_cell_angle_gamma 90.00
_space_group_name_H-M_alt 'C 1 2/m 1'
_space_group_IT_number 12
loop_
_space_group_symop_operation_xyz
'x,y,z'
'-x,-y,-z'
'-x,y,-z'
'x,-y,z'
'x+1/2,y+1/2,z'
'-x+1/2,-y+1/2,-z'
'-x+1/2,y+1/2,-z'
'x+1/2,-y+1/2,z'
loop_
_atom_site_label
_atom_site_type_symbol
_atom_site_fract_x
_atom_site_fract_y
_atom_site_fract_z
La1 La 0.000 0.000 0.000
La2 La 0.000 0.333 0.000
Tb1 Tb 0.247 0.000 0.744
Tb2 Tb 0.248 0.333 0.744
Y1 Y 0.000 0.500 0.500
Er1 Er 0.000 0.167 0.500

# La2TbY2Er2, relaxed, DFT PBE
# DOS(E_F) = 23.43 states/eV/cell
data_La2TbY2Er2
_chemical_formula_sum 'La4 Tb2 Y4 Er4'
_cell_length_a 11.816
_cell_length_b 3.527
_cell_length_c 11.924
_cell_angle_alpha 90.00
_cell_angle_beta 108.74
_cell_angle_gamma 90.00
_space_group_name_H-M_alt 'C 1 2/m 1'
_space_group_IT_number 12
loop_
_space_group_symop_operation_xyz
'x,y,z'
'-x,-y,-z'
'-x,y,-z'
'x,-y,z'
'x+1/2,y+1/2,z'
'-x+1/2,-y+1/2,-z'
'-x+1/2,y+1/2,-z'
'x+1/2,-y+1/2,z'
loop_
_atom_site_label
_atom_site_type_symbol
_atom_site_fract_x
_atom_site_fract_y
_atom_site_fract_z
La1 La 0.171 0.000 0.084
Tb1 Tb 0.000 0.500 0.500
Y1 Y 0.047 0.000 0.768
Er1 Er 0.228 0.500 0.368

# La5TbYEr2, relaxed, DFT PBE
# DOS(E_F) = 56.72 states/eV/cell
data_La5TbYEr2
_chemical_formula_sum 'La20 Tb4 Y4 Er8'
_cell_length_a 5.497
_cell_length_b 21.796
_cell_length_c 10.635
_cell_angle_alpha 90.00
_cell_angle_beta 90.00
_cell_angle_gamma 90.00
_space_group_name_H-M_alt 'C m c 21'
_space_group_IT_number 36
loop_
_space_group_symop_operation_xyz
'x,y,z'
'-x,-y,z+1/2'
'-x,y,z'
'x,-y,z+1/2'
'x+1/2,y+1/2,z'
'-x+1/2,-y+1/2,z+1/2'
'-x+1/2,y+1/2,z'
'x+1/2,-y+1/2,z+1/2'
loop_
_atom_site_label
_atom_site_type_symbol
_atom_site_fract_x
_atom_site_fract_y
_atom_site_fract_z
La1 La 0.000 0.000 0.000
La2 La 0.000 0.123 0.250
La3 La 0.000 0.220 0.941
La4 La 0.000 0.221 0.561
La5 La 0.000 0.500 0.250
Tb1 Tb 0.000 0.288 0.251
Y1 Y 0.000 0.101 0.750
Er1 Er 0.000 0.386 0.001
Er2 Er 0.000 0.387 0.499

# La2TbY6Er, relaxed, DFT PBE
# DOS(E_F) = 60.06 states/eV/cell
data_La2TbY6Er
_chemical_formula_sum 'La8 Tb4 Y24 Er4'
_cell_length_a 9.089
_cell_length_b 14.985
_cell_length_c 9.956
_cell_angle_alpha 90.00
_cell_angle_beta 101.05
_cell_angle_gamma 90.00
_space_group_name_H-M_alt 'C 1 2/c 1'
_space_group_IT_number 15
loop_
_space_group_symop_operation_xyz
'x,y,z'
'-x,-y,-z'
'-x,y,-z+1/2'
'x,-y,z+1/2'
'x+1/2,y+1/2,z'
'-x+1/2,-y+1/2,-z'
'-x+1/2,y+1/2,-z+1/2'
'x+1/2,-y+1/2,z+1/2'
loop_
_atom_site_label
_atom_site_type_symbol
_atom_site_fract_x
_atom_site_fract_y
_atom_site_fract_z
La1 La 0.240 0.047 0.045
Tb1 Tb 0.000 0.014 0.750
Y1 Y 0.071 0.191 0.443
Y2 Y 0.097 0.396 0.617
Y3 Y 0.200 0.220 0.812
Er1 Er 0.000 0.403 0.250

| no. | energy (eV per atom) |
| --- | --- |
| 1 | -5.038 |
| 2 | -5.555 |
| 3 | -4.552 |
| 4 | -4.800 |
| 5 | -4.922 |
| 6 | -5.135 |
| 7 | -5.596 |
| 8 | -4.952 |
| 9 | -4.823 |
| 10 | -5.135 |
| 11 | -4.854 |
| 12 | -5.668 |